# 1
# Cd2SiTc (PBE, relaxed)
# Crystal system ... tetragonal
# Formation energy without anion corrections ... 409 meV/atom
# Uncorrected energy ... -16.0 eV for the cell shown
# Size of the total moment ... 1.0 μB per formula unit
data_Cd2SiTc
_chemical_formula_sum 'Cd2 Si1 Tc1'
_cell_length_a 3.854
_cell_length_b 3.854
_cell_length_c 4.657
_cell_angle_alpha 90.00
_cell_angle_beta 90.00
_cell_angle_gamma 90.00
_space_group_name_H-M_alt 'P 1'
_space_group_IT_number 1
loop_
_space_group_symop_operation_xyz
'x,y,z'
loop_
_atom_site_label
_atom_site_fract_x
_atom_site_fract_y
_atom_site_fract_z
Cd1 0.000 0.500 0.000
Cd2 0.500 0.000 0.000
Si1 0.000 0.000 0.500
Tc1 0.500 0.500 0.500



# 2
# ZrNb2NiH (PBE, relaxed)
# Crystal system ... tetragonal
# Uncorrected energy ... -38.1 eV for the cell shown
# Size of the total moment ... 0.0 μB per formula unit
data_ZrNb2NiH
_chemical_formula_sum 'Zr1 Nb2 Ni1 H1'
_cell_length_a 3.978
_cell_length_b 3.978
_cell_length_c 4.636
_cell_angle_alpha 90.00
_cell_angle_beta 90.00
_cell_angle_gamma 90.00
_space_group_name_H-M_alt 'P 1'
_space_group_IT_number 1
loop_
_space_group_symop_operation_xyz
'x,y,z'
loop_
_atom_site_label
_atom_site_fract_x
_atom_site_fract_y
_atom_site_fract_z
Zr1 0.000 0.000 0.000
Nb1 0.000 0.500 0.500
Nb2 0.500 0.000 0.500
Ni1 0.500 0.500 0.000
H1 0.000 0.000 0.500



What is the formula in the first record? Cd2SiTc



What is the formula in the second record? ZrNb2NiH



Which formula does entry 2 have? ZrNb2NiH



Look up the uncorrected energy of the second one. -38.1 eV for the cell shown